First-principles (PBE-GGA) data for a relaxed K2TaRu crystal, as listed in Alexandria.

Summary:
The energy of formation comes out at 0.859 eV/atom. The value obtained for the energy above the most stable polymorph in this dataset is 333 meV/atom.

Cell lengths 7.1827, 7.1827, 7.1827 Å; angles 153.18, 126.87, 60.50 degrees
Positions (direct):
K 0.0130 0.0130 0.0000
K 0.7109 0.2109 0.5000
Ru 0.4538 0.4538 0.0000
Ta 0.3223 0.8223 0.5000